Entry 1:
The following is a DFT calculation (GGA-PBE) of a relaxed structure of AsP2Cl.

Calculated volume = 72.8 Å³/cell
Formation energy from raw total energies = 0.605 eV per atom
Size of the total moment = 0.00 μB/f.u.

abc: 5.571 5.571 5.571
angles: 145.68 131.02 61.16
Atoms (fractional coordinates):
Cl1 0.750 0.250 0.500
As1 0.250 0.750 0.500
P1 0.456 0.456 0.000
P2 0.044 0.044 0.000

Entry 2:
The following is a DFT calculation (GGA-PBE) of a relaxed structure of SrTeOs2.

Calculated volume = 186.6 Å³/cell
Formation energy from raw total energies = 1.041 eV per atom
Size of the total moment = 0.00 μB/f.u.

abc: 7.795 7.795 6.310
angles: 51.86 51.86 90.00
Atoms (fractional coordinates):
Te1 0.000 0.000 0.000
Te2 0.750 0.250 0.500
Os1 0.694 0.125 0.250
Os2 0.375 0.306 0.750
Os3 0.056 0.625 0.250
Os4 0.875 0.944 0.750
Sr1 0.250 0.750 0.500
Sr2 0.500 0.500 0.000

Entry 3:
The following is a DFT calculation (GGA-PBE) of a relaxed structure of ReTcGe.

Calculated volume = 44.9 Å³/cell
Size of the total moment = 0.00 μB/f.u.
Calculated formation energy = 0.10 eV per atom

abc: 2.835 4.275 4.275
angles: 120.00 90.00 90.00
Atoms (fractional coordinates):
Ge1 0.166 0.000 0.000
Tc1 0.667 0.667 0.333
Re1 0.167 0.333 0.667

Entry 4:
The following is a DFT calculation (GGA-PBE) of a relaxed structure of LaNd4Sm2Mg.

Calculated volume = 268.3 Å³/cell
Size of the total moment = 0.00 μB/f.u.
Calculated formation energy = 0.08 eV per atom

abc: 5.942 9.649 5.943
angles: 51.95 90.00 90.00
Atoms (fractional coordinates):
Nd1 0.000 0.739 0.761
Nd2 0.500 0.261 0.739
Nd3 0.000 0.261 0.239
Nd4 0.500 0.739 0.261
Sm1 0.000 0.000 0.000
Sm2 0.500 0.000 0.500
Mg1 0.000 0.500 0.500
La1 0.500 0.500 0.000

Entry 5:
The following is a DFT calculation (GGA-PBE) of a relaxed structure of Tm3B2Rh5.

Calculated volume = 306.3 Å³/cell
Size of the total moment = 0.00 μB/f.u.
Calculated formation energy = -0.86 eV per atom

abc: 3.225 9.746 9.746
angles: 90.00 90.00 90.00
Atoms (fractional coordinates):
B1 0.000 0.122 0.622
B2 0.000 0.622 0.878
B3 0.000 0.378 0.122
B4 0.000 0.878 0.378
Rh1 0.500 0.229 0.071
Rh2 0.500 0.000 0.500
Rh3 0.500 0.771 0.929
Rh4 0.500 0.571 0.729
Rh5 0.500 0.271 0.571
Rh6 0.500 0.071 0.771
Rh7 0.500 0.929 0.229
Rh8 0.500 0.500 0.000
Rh9 0.500 0.729 0.429
Rh10 0.500 0.429 0.271
Tm1 0.000 0.500 0.500
Tm2 0.000 0.174 0.326
Tm3 0.000 0.674 0.174
Tm4 0.000 0.326 0.826
Tm5 0.000 0.000 0.000
Tm6 0.000 0.826 0.674

Entry 6:
The following is a DFT calculation (GGA-PBE) of a relaxed structure of Li4InI5.

Calculated volume = 744.9 Å³/cell
Formation energy from raw total energies = -1.035 eV per atom
Size of the total moment = 0.00 μB/f.u.

abc: 4.604 4.604 40.575
angles: 90.00 90.00 120.00
Atoms (fractional coordinates):
Li1 0.667 0.333 0.609
Li2 0.333 0.667 0.700
Li3 0.667 0.333 0.200
Li4 0.667 0.333 0.971
Li5 0.333 0.667 0.519
Li6 0.667 0.333 0.790
Li7 0.667 0.333 0.429
Li8 0.333 0.667 0.881
I1 0.667 0.333 0.901
I2 0.333 0.667 0.811
I3 0.667 0.333 0.359
I4 0.667 0.333 0.540
I5 0.333 0.667 0.630
I6 0.333 0.667 0.222
I7 0.667 0.333 0.130
I8 0.333 0.667 0.993
I9 0.333 0.667 0.449
I10 0.667 0.333 0.721
In1 0.333 0.667 0.082
In2 0.333 0.667 0.311